No. 1
# CuBIr (GGA-PBEsol, optimized geometry)
data_CuBIr
_space_group_name_H-M_alt 'F d d 2'
_space_group_IT_number 43
_space_group_name_Hall 'F 2 -2d'
_cell_length_a 8.5991
_cell_length_b 9.8423
_cell_length_c 6.5226
_cell_angle_alpha 90.00
_cell_angle_beta 90.00
_cell_angle_gamma 90.00
loop_
_atom_site_label
_atom_site_fract_x
_atom_site_fract_y
_atom_site_fract_z
Cu1 0.0832 0.3850 0.0000
B1 0.0574 0.2724 0.3060
Ir1 0.0205 0.3633 0.5848
# - total magnetization (μB per formula unit) = 0.0
# - E_form (meV per atom) = -174

No. 2
# KNiAs2 (GGA-PBEsol, optimized geometry)
data_KNiAs2
_space_group_name_H-M_alt 'I -4 m 2'
_space_group_IT_number 119
_space_group_name_Hall 'I -4 -2'
_cell_length_a 4.2015
_cell_length_b 4.2015
_cell_length_c 8.4374
_cell_angle_alpha 90.00
_cell_angle_beta 90.00
_cell_angle_gamma 90.00
loop_
_atom_site_label
_atom_site_fract_x
_atom_site_fract_y
_atom_site_fract_z
K1 0.0000 0.0000 0.0000
Ni1 0.0000 0.5000 0.2500
As1 0.0000 0.0000 0.5000
As2 0.0000 0.5000 0.7500
# - total magnetization (μB per formula unit) = 0.0
# - E_form (meV per atom) = 500
# - polymorph energy (0 for the lowest one) (eV/atom) = 0.823

No. 3
# ScAgGe (GGA-PBEsol, optimized geometry)
data_ScAgGe
_space_group_name_H-M_alt 'P -6 2 m'
_space_group_IT_number 189
_space_group_name_Hall 'P -6 -2'
_cell_length_a 6.8032
_cell_length_b 6.8032
_cell_length_c 3.9978
_cell_angle_alpha 90.00
_cell_angle_beta 90.00
_cell_angle_gamma 120.00
loop_
_atom_site_label
_atom_site_fract_x
_atom_site_fract_y
_atom_site_fract_z
Sc1 0.0000 0.4187 0.0000
Ag1 0.0000 0.7471 0.5000
Ge1 0.0000 0.0000 0.0000
Ge2 0.3333 0.6667 0.5000
# - total magnetization (μB per formula unit) = 0.0
# - E_form (meV per atom) = -633

Q: Among the records above, which one has the lowest E_form?
A: ScAgGe